# 1
Entry from Alexandria via LeMat-Bulk: a relaxed structure of Te2IrNF (GGA-PBE).

## Properties
energy relative to the lowest polymorph listed for this composition	0.392	eV per atom
spin magnetization	0.0000	μB/atom
formation energy from raw total energies	55	kJ/mol of atoms
space-group type	P4/mmm (123)

Geometry as extended XYZ:
```
5
Lattice="4.6422 0.0000 0.0000 0.0000 4.6422 0.0000 0.0000 0.0000 3.7110" Properties=species:S:1:pos:R:3 pbc="T T T"
Te 0.0000 2.3211 0.0000
Te 2.3211 0.0000 0.0000
Ir 0.0000 0.0000 1.8555
N 2.3211 2.3211 0.0000
F 2.3211 2.3211 1.8555
```

---

# 2
Entry from Alexandria via LeMat-Bulk: a relaxed structure of NaCaMg2Hg4 (GGA-PBE).

## Properties
spin magnetization	0.0000	μB/atom
calculated formation energy	-314	meV/atom
space-group type	R-3m (166)

Geometry as extended XYZ:
```
8
Lattice="2.5501 1.4723 8.4164 -2.5501 1.4723 8.4164 0.0000 -2.9446 8.4164" Properties=species:S:1:pos:R:3 pbc="T T T"
Na 0.0000 0.0000 0.0000
Ca 0.0000 0.0000 12.6246
Mg 0.0000 0.0000 6.3413
Mg 0.0000 0.0000 18.9079
Hg 0.0000 0.0000 3.0720
Hg 0.0000 0.0000 9.4237
Hg 0.0000 0.0000 15.8255
Hg 0.0000 0.0000 22.1772
```

---

# 3
Entry from Alexandria via LeMat-Bulk: a relaxed structure of Zr4Al7Au5 (GGA-PBE).

## Properties
spin magnetization	0.0000	μB/atom
calculated formation energy	-427	meV/atom
space-group type	I-42m (121)

Geometry as extended XYZ:
```
16
Lattice="-2.9205 2.9205 8.5644 2.9205 -2.9205 8.5644 2.9205 2.9205 -8.5644" Properties=species:S:1:pos:R:3 pbc="T T T"
Zr 1.5074 1.5074 -2.2010
Zr 1.4131 -1.4131 10.7655
Zr 1.4131 1.4131 6.3634
Zr -1.4131 1.4131 10.7655
Al 2.9205 0.0000 0.0000
Al 1.4854 -1.4854 6.4228
Al 1.4351 1.4351 2.1417
Al 0.0000 2.9205 0.0000
Al 0.0000 0.0000 8.5644
Al -1.4854 1.4854 6.4228
Al 1.4854 1.4854 10.7061
Au 0.0000 0.0000 0.0000
Au 0.0000 0.0000 4.1896
Au 2.9205 0.0000 4.2822
Au 0.0000 2.9205 4.2822
Au 0.0000 0.0000 12.9392
```

---

# 4
Entry from Alexandria via LeMat-Bulk: a relaxed structure of TaCdRu2 (GGA-PBE).

## Properties
spin magnetization	0.0001	μB/atom
calculated formation energy	74	meV/atom
space-group type	Cmmm (65)

Geometry as extended XYZ:
```
4
Lattice="1.5966 -2.3944 0.0000 1.5966 2.3944 0.0000 0.0000 0.0000 8.8104" Properties=species:S:1:pos:R:3 pbc="T T T"
Ta 0.0000 0.0000 0.0000
Cd 0.0000 0.0000 4.4052
Ru 1.5966 0.0000 2.0164
Ru 1.5966 0.0000 6.7940
```

---

# 5
Entry from Alexandria via LeMat-Bulk: a relaxed structure of SbTe2Pb (GGA-PBE).

## Properties
spin magnetization	0.0000	μB/atom
formation energy from raw total energies	16	kJ/mol of atoms
space-group type	F-43m (216)

Geometry as extended XYZ:
```
4
Lattice="0.0000 3.8759 3.8759 3.8759 0.0000 3.8759 3.8759 3.8759 0.0000" Properties=species:S:1:pos:R:3 pbc="T T T"
Sb 0.0000 0.0000 0.0000
Te 3.8759 3.8759 3.8759
Te 5.8139 5.8139 5.8139
Pb 1.9380 1.9380 1.9380
```

---

# 6
Entry from Alexandria via LeMat-Bulk: a relaxed structure of KTcAuI6 (GGA-PBE).

## Properties
spin magnetization	0.3306	μB/atom
formation energy from raw total energies	-32	kJ/mol of atoms
space-group type	P1 (1)

Geometry as extended XYZ:
```
9
Lattice="7.3227 0.0000 0.0000 -1.1353 7.4354 0.0000 -0.0956 -2.9046 7.2268" Properties=species:S:1:pos:R:3 pbc="T T T"
K 0.0000 0.0000 0.0000
Tc 3.0882 3.8713 2.5230
Au 3.6399 0.1066 4.9084
I 1.2347 1.9168 2.7422
I 1.7928 5.2179 0.6083
I 1.5154 5.1309 4.5653
I 4.5581 2.5724 0.6985
I 4.5793 2.5374 4.5917
I 4.9629 5.8074 2.9220
```

---

# 7
Entry from Alexandria via LeMat-Bulk: a relaxed structure of FeCu2Pt (GGA-PBE).

## Properties
spin magnetization	0.8111	μB/atom
calculated formation energy	-28	meV/atom
space-group type	Pmmm (47)

Geometry as extended XYZ:
```
4
Lattice="2.7038 0.0000 0.0000 0.0000 3.7054 0.0000 0.0000 0.0000 5.2313" Properties=species:S:1:pos:R:3 pbc="T T T"
Fe 0.0000 0.0000 0.0000
Cu 1.3519 1.8527 1.2579
Cu 1.3519 1.8527 3.9734
Pt 0.0000 0.0000 2.6156
```

---

# 8
Entry from Alexandria via LeMat-Bulk: a relaxed structure of Ti4CuTc (GGA-PBE).

## Properties
energy relative to the lowest polymorph listed for this composition	0.424	eV per atom
spin magnetization	0.2863	μB/atom
calculated formation energy	222	meV/atom
space-group type	R-3m (166)

Geometry as extended XYZ:
```
6
Lattice="2.1796 1.2584 6.5861 -2.1796 1.2584 6.5861 0.0000 -2.5168 6.5861" Properties=species:S:1:pos:R:3 pbc="T T T"
Ti 0.0000 0.0000 2.5032
Ti 0.0000 0.0000 7.3466
Ti 0.0000 0.0000 12.4116
Ti 0.0000 0.0000 17.2551
Cu 0.0000 0.0000 9.8791
Tc 0.0000 0.0000 0.0000
```

---

# 9
Entry from Alexandria via LeMat-Bulk: a relaxed structure of Tb3Si2Ge (GGA-PBE).

## Properties
spin magnetization	0.0000	μB/atom
formation energy from raw total energies	-66	kJ/mol of atoms
space-group type	Pnma (62)

Geometry as extended XYZ:
```
24
Lattice="11.5609 0.0000 0.0000 0.0000 4.1023 0.0000 0.0000 0.0000 11.5775" Properties=species:S:1:pos:R:3 pbc="T T T"
Tb 0.6585 1.0256 1.4047
Tb 1.3844 3.0767 6.4755
Tb 2.3549 1.0256 9.2498
Tb 3.4255 3.0767 3.4610
Tb 4.3961 1.0256 0.6867
Tb 5.1220 3.0767 7.1935
Tb 6.4389 1.0256 4.3840
Tb 7.1648 3.0767 10.8908
Tb 8.1354 1.0256 8.1166
Tb 9.2060 3.0767 2.3278
Tb 10.1765 1.0256 5.1021
Tb 10.9024 3.0767 10.1728
Si 0.2054 3.0767 3.5712
Si 2.1752 3.0767 11.5567
Si 3.6052 1.0256 5.7679
Si 5.5750 1.0256 9.3599
Si 5.9859 3.0767 2.2176
Si 7.9557 3.0767 5.8096
Si 9.3857 1.0256 0.0209
Si 11.3555 1.0256 8.0064
Ge 1.5248 1.0256 4.2907
Ge 4.2556 3.0767 10.0795
Ge 7.3053 1.0256 1.4980
Ge 10.0360 3.0767 7.2868
```

---

# 10
Entry from Alexandria via LeMat-Bulk: a relaxed structure of ScBPt2 (GGA-PBE).

## Properties
spin magnetization	0.0000	μB/atom
calculated formation energy	-668	meV/atom
space-group type	I-42d (122)

Geometry as extended XYZ:
```
8
Lattice="-3.4374 3.4374 2.6426 3.4374 -3.4374 2.6426 3.4374 3.4374 -2.6426" Properties=species:S:1:pos:R:3 pbc="T T T"
Sc 0.0000 0.0000 0.0000
Sc 0.0000 3.4374 1.3213
B 3.4374 0.0000 1.3213
B 0.0000 0.0000 2.6426
Pt 1.7187 -0.9794 1.9819
Pt 2.4580 1.7187 0.6606
Pt 1.7187 4.4168 -0.6606
Pt 0.9794 1.7187 3.3032
```

---

# 11
Entry from Alexandria via LeMat-Bulk: a relaxed structure of Na3Tb3SbTe8 (GGA-PBE).

## Properties
spin magnetization	0.0000	μB/atom
formation energy from raw total energies	-100	kJ/mol of atoms
space-group type	C2/m (12)

Geometry as extended XYZ:
```
15
Lattice="7.6258 -4.3959 0.0000 7.6258 4.3959 0.0000 -5.0921 0.0000 7.6518" Properties=species:S:1:pos:R:3 pbc="T T T"
Na 0.0000 0.0000 0.0000
Na 3.8129 2.1980 0.0000
Na 3.8129 -2.1980 0.0000
Tb 1.2669 2.1980 3.8259
Tb 1.2669 -2.1980 3.8259
Tb 5.0798 0.0000 3.8259
Sb -2.5460 0.0000 3.8259
Te -0.0375 0.0000 5.5792
Te 3.8248 2.2254 5.5780
Te 6.3348 2.2254 2.0737
Te 2.5387 0.0000 2.0410
Te 7.6209 0.0000 5.6108
Te 3.8248 -2.2254 5.5780
Te 6.3348 -2.2254 2.0737
Te 10.1971 0.0000 2.0726
```

---

# 12
Entry from Alexandria via LeMat-Bulk: a relaxed structure of Li2InRu (GGA-PBE).

## Properties
spin magnetization	0.2098	μB/atom
calculated formation energy	176	meV/atom
space-group type	P4/mmm (123)

Geometry as extended XYZ:
```
4
Lattice="2.7594 0.0000 0.0000 0.0000 2.7594 0.0000 0.0000 0.0000 8.7358" Properties=species:S:1:pos:R:3 pbc="T T T"
Li 0.0000 0.0000 1.9702
Li 0.0000 0.0000 6.7656
In 1.3797 1.3797 4.3679
Ru 1.3797 1.3797 0.0000
```